A plane-wave DFT calculation with PBE was carried out for KErBe2F8 after structural relaxation.

Final energy, eV/atom: -5.840
Spin magnetization, μB per cell: 0.150
Formation energy without anion corrections, meV/atom: -3500

Cell lengths 5.0663, 5.0663, 8.1057 Å; angles 88.02, 88.02, 65.95 degrees
Last column: nearest neighbours and their distance in Å.
Sites, in units of the cell vectors:
Be (0.6318, 0.6318, 0.2256)  4 F 1.49-1.60
Be (0.3682, 0.3682, 0.7744)  4 F 1.49-1.60
F (0.7076, 0.2380, 0.8046)  1 Be 1.60
F (0.2461, 0.2461, 0.9294)  1 Be 1.60
F (0.2924, 0.7620, 0.1954)  1 Be 1.60
F (0.7022, 0.7022, 0.3905)  1 Be 1.49
F (0.2978, 0.2978, 0.6095)  1 Be 1.49
F (0.2380, 0.7076, 0.8046)  1 Be 1.60
F (0.7539, 0.7539, 0.0706)  1 Be 1.60
F (0.7620, 0.2924, 0.1954)  1 Be 1.60
Er (0.0000, 0.0000, 0.0000)  6 F 2.15-2.18
K (0.0000, 0.0000, 0.5000)  6 F 2.72-2.87

=====

A plane-wave DFT calculation with PBE was carried out for TbSm3Cd7 after structural relaxation.

Energy of formation, eV/f.u.: -2.05
Final energy, eV/atom: -2.476
Spin magnetization, μB per cell: 0.000

Cell lengths 3.4394, 11.1466, 15.6765 Å; angles 90.00, 90.00, 98.88 degrees
Last column: nearest neighbours and their distance in Å.
Sites, in units of the cell vectors:
Cd (0.7382, 0.4764, 0.9274)  3 Cd 2.81-2.90
Cd (0.6261, 0.2522, 0.8425)  3 Cd 2.81-2.90
Cd (0.3739, 0.7478, 0.3425)  3 Cd 2.81-2.90
Cd (0.5061, 0.0122, 0.5869)  2 Cd 2.74-2.87
Cd (0.2618, 0.5236, 0.0726)  3 Cd 2.81-2.90
Cd (0.5061, 0.0122, 0.9131)  2 Cd 2.74-2.87
Cd (0.3912, 0.7825, 0.7500)  2 Tb 3.27, 1 Sm 3.28, 4 Cd 3.44-3.60
Cd (0.6261, 0.2522, 0.6575)  3 Cd 2.81-2.90
Cd (0.4939, 0.9878, 0.4131)  2 Cd 2.74-2.87
Cd (0.7382, 0.4764, 0.5726)  3 Cd 2.81-2.90
Cd (0.4939, 0.9878, 0.0869)  2 Cd 2.74-2.87
Cd (0.2618, 0.5236, 0.4274)  3 Cd 2.81-2.90
Cd (0.6088, 0.2175, 0.2500)  2 Tb 3.27, 1 Sm 3.28, 4 Cd 3.44-3.60
Cd (0.3739, 0.7478, 0.1575)  3 Cd 2.81-2.90
Sm (0.2426, 0.4851, 0.7500)  9 Cd 3.27-3.41, 2 Sm 3.44
Sm (0.1162, 0.2324, 0.4651)  9 Cd 3.26-3.61, 2 Sm 3.44
Sm (0.7574, 0.5149, 0.2500)  9 Cd 3.27-3.41, 2 Sm 3.44
Sm (0.1162, 0.2324, 0.0349)  9 Cd 3.26-3.61, 2 Sm 3.44
Sm (0.8838, 0.7676, 0.5349)  9 Cd 3.26-3.61, 2 Sm 3.44
Sm (0.8838, 0.7676, 0.9651)  9 Cd 3.26-3.61, 2 Sm 3.44
Tb (0.9825, 0.9649, 0.2500)  10 Cd 3.09-3.28, 2 Tb 3.44
Tb (0.0175, 0.0351, 0.7500)  10 Cd 3.09-3.28, 2 Tb 3.44

=====

A plane-wave DFT calculation with PBE was carried out for TiAl2GeBr after structural relaxation.

Final energy, eV/atom: -3.451
Spin magnetization, μB per cell: 0.001
Formation energy without anion corrections, meV/atom: 883

Cell lengths 4.8539, 5.2740, 4.8539 Å; angles 90.00, 90.00, 90.00 degrees
Last column: nearest neighbours and their distance in Å.
Sites, in units of the cell vectors:
Al (0.0000, 0.0000, 0.5000)  2 Ge 2.43
Al (0.5000, 0.0000, 0.0000)  2 Ge 2.43
Br (0.0000, 0.5000, 0.0000)  2 Ge 2.64
Ti (0.5000, 0.5000, 0.5000)  4 Br 3.43, 8 Al 3.58
Ge (0.0000, 0.0000, 0.0000)  4 Al 2.43, 2 Br 2.64

=====

A plane-wave DFT calculation with PBE was carried out for Ga5AgPt3 after structural relaxation.

Energy of formation, eV/f.u.: -2.82
Final energy, eV/atom: -4.325
Spin magnetization, μB per cell: 0.000

Cell lengths 7.7416, 7.7416, 7.4534 Å; angles 67.22, 67.22, 64.78 degrees
Last column: nearest neighbours and their distance in Å.
Sites, in units of the cell vectors:
Ga (0.3613, 0.9493, 0.3110)  3 Pt 2.50-2.63
Ga (0.0507, 0.6387, 0.6890)  3 Pt 2.50-2.63
Ga (0.7026, 0.2974, 0.0000)  3 Pt 2.47-2.64
Ga (0.6387, 0.0507, 0.6890)  3 Pt 2.50-2.63
Ga (0.5861, 0.5861, 0.6444)  3 Pt 2.43-2.50
Ga (0.4139, 0.4139, 0.3556)  3 Pt 2.43-2.50
Ga (0.8135, 0.8135, 0.0181)  3 Pt 2.38-2.53
Ga (0.9493, 0.3613, 0.3110)  3 Pt 2.50-2.63
Ga (0.1865, 0.1865, 0.9819)  3 Pt 2.38-2.53
Ga (0.2974, 0.7026, 0.0000)  3 Pt 2.47-2.64
Pt (0.0000, 0.0000, 0.0000)  4 Ga 2.38-2.47
Pt (0.0000, 0.0000, 0.5000)  4 Ga 2.53, 2 Ag 2.79
Pt (0.3819, 0.3819, 0.7037)  5 Ga 2.43-2.50
Pt (0.6181, 0.6181, 0.2963)  5 Ga 2.43-2.50
Pt (0.3252, 0.3252, 0.1314)  6 Ga 2.43-2.64
Pt (0.6748, 0.6748, 0.8686)  6 Ga 2.43-2.64
Ag (0.8201, 0.8201, 0.3972)  4 Ga 2.75-2.90, 3 Pt 2.79-3.06
Ag (0.1799, 0.1799, 0.6028)  4 Ga 2.75-2.90, 3 Pt 2.79-3.06

=====

A plane-wave DFT calculation with PBE was carried out for TlIn2Cu after structural relaxation.

Energy of formation, eV/f.u.: 0.44
Final energy, eV/atom: -2.876
Spin magnetization, μB per cell: 0.000

Cell lengths 3.4941, 3.4941, 9.5262 Å; angles 79.43, 79.43, 60.00 degrees
Last column: nearest neighbours and their distance in Å.
Sites, in units of the cell vectors:
Cu (0.6663, 0.6663, 0.0010)  6 In 2.74-2.75
In (0.2664, 0.2664, 0.2008)  3 Cu 2.74
In (0.0664, 0.0664, 0.8007)  3 Cu 2.75
Tl (0.5008, 0.5008, 0.4975)  6 In 3.42-3.47, 6 Tl 3.49

=====

A plane-wave DFT calculation with PBE was carried out for Mg2CuNiRh after structural relaxation.

Energy of formation, eV/f.u.: 2.81
Final energy, eV/atom: -3.522
Spin magnetization, μB per cell: 0.000

Cell lengths 4.5743, 4.2632, 4.5743 Å; angles 90.00, 90.00, 90.00 degrees
Last column: nearest neighbours and their distance in Å.
Sites, in units of the cell vectors:
Mg (0.5000, 0.0000, 0.0000)  2 Cu 2.29
Mg (0.0000, 0.0000, 0.5000)  2 Cu 2.29
Cu (0.0000, 0.0000, 0.0000)  2 Ni 2.13, 4 Mg 2.29
Rh (0.5000, 0.5000, 0.5000)  8 Mg 3.13, 4 Ni 3.23
Ni (0.0000, 0.5000, 0.0000)  2 Cu 2.13

=====

A plane-wave DFT calculation with PBE was carried out for Pm2Y6Tm3 after structural relaxation.

Energy of formation, eV/f.u.: 3.20
Final energy, eV/atom: -5.318
Spin magnetization, μB per cell: 0.000
Relative energy among the computed polymorphs, eV per atom: 0.100

Cell lengths 4.7247, 4.7247, 17.0142 Å; angles 97.98, 97.98, 90.00 degrees
Last column: nearest neighbours and their distance in Å.
Sites, in units of the cell vectors:
Y (0.6217, 0.1217, 0.2435)  6 Y 3.34-3.49, 2 Pm 3.48, 2 Tm 3.49
Y (0.8783, 0.3783, 0.7565)  6 Y 3.34-3.49, 2 Pm 3.48, 2 Tm 3.49
Y (0.6989, 0.6989, 0.3977)  5 Tm 3.34-3.42, 4 Y 3.49
Y (0.1217, 0.6217, 0.2435)  6 Y 3.34-3.49, 2 Pm 3.48, 2 Tm 3.49
Y (0.3783, 0.8783, 0.7565)  6 Y 3.34-3.49, 2 Pm 3.48, 2 Tm 3.49
Y (0.3011, 0.3011, 0.6023)  5 Tm 3.34-3.42, 4 Y 3.49
Tm (0.0000, 0.0000, 0.0000)  8 Pm 3.67
Tm (0.8014, 0.8014, 0.6028)  9 Y 3.34-3.49
Tm (0.1986, 0.1986, 0.3972)  9 Y 3.34-3.49
Pm (0.4547, 0.4547, 0.9095)  1 Pm 3.02
Pm (0.5453, 0.5453, 0.0905)  1 Pm 3.02

=====

A plane-wave DFT calculation with PBE was carried out for TiNb2Cu after structural relaxation.

Energy of formation, eV/f.u.: 0.23
Final energy, eV/atom: -7.974
Spin magnetization, μB per cell: 0.000
Relative energy among the computed polymorphs, eV per atom: 0.048

Cell lengths 4.1328, 3.9889, 3.9889 Å; angles 90.00, 90.00, 90.00 degrees
Last column: nearest neighbours and their distance in Å.
Sites, in units of the cell vectors:
Nb (0.0000, 0.0000, 0.5000)  4 Nb 2.82, 4 Ti 2.87, 4 Cu 2.87
Nb (0.0000, 0.5000, 0.0000)  4 Nb 2.82, 4 Cu 2.87, 4 Ti 2.87
Cu (0.5000, 0.5000, 0.5000)  4 Ti 2.82, 8 Nb 2.87
Ti (0.5000, 0.0000, 0.0000)  4 Cu 2.82, 8 Nb 2.87

=====

A plane-wave DFT calculation with PBE was carried out for Pr3Sm6Er2Tl after structural relaxation.

Energy of formation, eV/f.u.: -0.06
Final energy, eV/atom: -4.517
Spin magnetization, μB per cell: 0.000

Cell lengths 6.2681, 6.2681, 11.8139 Å; angles 95.17, 95.17, 120.18 degrees
Last column: nearest neighbours and their distance in Å.
Sites, in units of the cell vectors:
Er (0.6656, 0.3344, 0.0000)  6 Sm 3.51-3.52, 3 Er 3.60-3.62, 3 Tl 3.61-3.63
Er (0.3344, 0.6656, 0.0000)  6 Sm 3.51-3.52, 3 Er 3.60-3.62, 3 Tl 3.61-3.63
Sm (0.7524, 0.7524, 0.2437)  1 Tl 3.51, 2 Er 3.52, 6 Sm 3.55-3.66, 3 Pr 3.64-3.66
Sm (0.2476, 0.2476, 0.7563)  1 Tl 3.51, 2 Er 3.52, 6 Sm 3.55-3.66, 3 Pr 3.64-3.66
Sm (0.5940, 0.9211, 0.7587)  1 Tl 3.47, 2 Er 3.51-3.52, 6 Sm 3.55-3.66, 3 Pr 3.65-3.67
Sm (0.4060, 0.0789, 0.2413)  1 Tl 3.47, 2 Er 3.51-3.52, 6 Sm 3.55-3.66, 3 Pr 3.65-3.67
Sm (0.9211, 0.5940, 0.7587)  1 Tl 3.47, 2 Er 3.51-3.52, 6 Sm 3.55-3.66, 3 Pr 3.65-3.67
Sm (0.0789, 0.4060, 0.2413)  1 Tl 3.47, 2 Er 3.51-3.52, 6 Sm 3.55-3.66, 3 Pr 3.65-3.67
Pr (0.8314, 0.1686, 0.5000)  6 Pr 3.59-3.66, 6 Sm 3.64-3.67
Pr (0.5000, 0.5000, 0.5000)  6 Pr 3.60-3.62, 6 Sm 3.65-3.66
Pr (0.1686, 0.8314, 0.5000)  6 Pr 3.59-3.66, 6 Sm 3.64-3.67
Tl (0.0000, 0.0000, 0.0000)  6 Sm 3.47-3.51, 6 Er 3.61-3.63

=====

A plane-wave DFT calculation with PBE was carried out for LiNiP2Os after structural relaxation.

Energy of formation, eV/f.u.: -2.37
Final energy, eV/atom: -6.423
Spin magnetization, μB per cell: 0.000

Cell lengths 3.8456, 3.8456, 5.4958 Å; angles 110.48, 110.48, 90.00 degrees
Last column: nearest neighbours and their distance in Å.
Sites, in units of the cell vectors:
P (0.3825, 0.3825, 0.7650)  1 P 2.24, 2 Ni 2.30, 2 Os 2.30
P (0.6175, 0.6175, 0.2350)  1 P 2.24, 2 Os 2.30, 2 Ni 2.30
Ni (0.2500, 0.7500, 0.5000)  4 P 2.30
Li (0.0000, 0.0000, 0.0000)  8 P 2.94, 4 Os 3.07, 4 Ni 3.07
Os (0.7500, 0.2500, 0.5000)  4 P 2.30